Entry 1:
# CdIn2Hg

A relaxed structure of CdIn2Hg (PBE-GGA, the Alexandria database).

```
4
Lattice="5.923 -0.017 -0.054 -2.707 5.516 0.064 0.510 1.007 3.212" Properties=species:S:1:pos:R:3 pbc="T T T"
Cd -1.098 3.262 1.638
Hg 1.608 2.750 0.005
In 0.000 0.000 0.000
In 3.217 0.495 1.579
```

As for the energy of formation from the pure elements: 0.11 eV/f.u. The calculation puts the total energy at -1.6455 eV per atom. For the energy above the lowest structure with this stoichiometry, the calculation gives 0.022 eV per atom.

Entry 2:
# CdInHg

A relaxed structure of CdInHg (PBE-GGA, the Alexandria database).

```
3
Lattice="5.150 0.000 0.000 -2.575 4.460 0.000 0.000 0.000 3.350" Properties=species:S:1:pos:R:3 pbc="T T T"
Cd 0.000 0.000 0.293
Hg 2.575 1.487 0.915
In 0.000 2.973 2.141
```

As for the energy of formation from the pure elements: 0.04 eV/f.u. The calculation puts the total energy at -1.3045 eV per atom.